Here is a relaxed structure of Rb3Ca3TaSe8 from Alexandria via LeMat-Bulk. Energies are from PBE.

Geometry as POSCAR:
```
Rb3Ca3TaSe8
1.0
4.1747 2.4102 8.2481
-4.1747 2.4102 8.2481
0.0000 -4.8205 8.2481
Rb Ca Ta Se
3 3 1 8
Cartesian
-2.0873 -1.2051 8.2481
-2.0873 1.2051 16.4961
0.0000 2.4102 8.2481
-4.1747 0.0000 12.3721
-2.0873 1.2051 4.1240
2.0873 1.2051 4.1240
0.0000 0.0000 12.3721
0.0000 0.0000 5.7853
-1.8434 -1.0643 13.8927
0.0000 -2.1285 10.8515
-1.8433 1.0643 10.8515
1.8434 -1.0643 13.8927
0.0000 2.1285 13.8927
1.8433 1.0643 10.8515
0.0000 0.0000 18.9589
```

Values from the calculation:
For the density of states at the Fermi level, the calculation gives 14.99 states/eV per cell. The magnetic moment is 0.00 μB per formula unit. Its uncorrected formation energy is -1245 meV/atom.

---

Here is a relaxed structure of RbCaTcSe2 from Alexandria via LeMat-Bulk. Energies are from PBE.

Geometry as POSCAR:
```
RbCaTcSe2
1.0
5.8606 0.0000 0.0000
0.0000 5.8606 0.0000
0.0000 0.0000 5.3659
Rb Ca Tc Se
1 1 1 2
Cartesian
0.0000 0.0000 0.0000
0.0000 0.0000 2.6830
2.9303 2.9303 2.6830
0.0000 2.9303 0.0000
2.9303 0.0000 0.0000
```

Values from the calculation:
For the density of states at the Fermi level, the calculation gives 4.60 states/eV per cell. The magnetic moment is 4.17 μB per formula unit. Its uncorrected formation energy is 1330 meV/atom.

---

Here is a relaxed structure of Rb2Ca2Te2Se from Alexandria via LeMat-Bulk. Energies are from PBE.

Geometry as POSCAR:
```
Rb2Ca2Te2Se
1.0
5.4959 0.0000 0.0000
0.0000 5.4959 0.0000
0.0000 0.0000 18.3655
Rb Ca Te Se
4 4 4 2
Cartesian
0.0000 0.0000 3.3579
0.0000 0.0000 15.0075
2.7479 2.7479 5.8248
2.7479 2.7479 12.5407
0.0000 2.7479 0.0000
0.0000 2.7479 9.1827
2.7479 0.0000 0.0000
2.7479 0.0000 9.1827
0.0000 0.0000 7.0946
0.0000 0.0000 11.2709
2.7479 2.7479 2.0882
2.7479 2.7479 16.2773
0.0000 0.0000 0.0000
2.7479 2.7479 9.1827
```

Values from the calculation:
For the density of states at the Fermi level, the calculation gives 0.00 states/eV per cell. The magnetic moment is 0.00 μB per formula unit. Its uncorrected formation energy is -1411 meV/atom.

---

Here is a relaxed structure of Rb3CaTh3Se8 from Alexandria via LeMat-Bulk. Energies are from PBE.

Geometry as POSCAR:
```
Rb3CaTh3Se8
1.0
4.3131 2.4902 8.1265
-4.3131 2.4902 8.1265
0.0000 -4.9804 8.1265
Rb Ca Th Se
3 1 3 8
Cartesian
-2.1566 -1.2451 8.1265
-2.1566 1.2451 16.2531
0.0000 2.4902 8.1265
0.0000 0.0000 12.1898
-4.3131 0.0000 12.1898
-2.1566 1.2451 4.0633
2.1566 1.2451 4.0633
-2.2088 -1.2753 13.7833
0.0000 0.0000 5.7154
0.0000 -2.5506 10.5963
-2.2088 1.2753 10.5963
2.2088 -1.2753 13.7833
0.0000 2.5506 13.7833
0.0000 0.0000 18.6642
2.2088 1.2753 10.5963
```

Values from the calculation:
For the density of states at the Fermi level, the calculation gives 7.23 states/eV per cell. The magnetic moment is 0.01 μB per formula unit. Its uncorrected formation energy is -1649 meV/atom.